# Dy2Si3Rh (PBE-GGA, optimized geometry)
# Final energy in eV per atom: -6.41
# Total magnetic moment in Bohr magnetons per cell: 0.00
data_Dy2Si3Rh
_chemical_formula_sum 'Dy8 Si12 Rh4'
_cell_length_a 8.1728
_cell_length_b 8.1728
_cell_length_c 7.8936
_cell_angle_alpha 90.00
_cell_angle_beta 90.00
_cell_angle_gamma 120.00
_space_group_name_H-M_alt 'P 63/m m c'
_space_group_IT_number 194
_space_group_name_Hall '-P 6c 2c'
loop_
_atom_site_label
_atom_site_fract_x
_atom_site_fract_y
_atom_site_fract_z
_atom_site_occupancy
Dy1 0.0000 0.0000 0.2500 1
Dy2 0.0163 0.5081 0.2500 1
Si1 0.1667 0.3334 0.5006 1
Rh1 0.3333 0.6667 0.5303 1

=====

# Dy3Si4Rh7 (PBE-GGA, optimized geometry)
# Final energy in eV per atom: -7.24
# Total magnetic moment in Bohr magnetons per cell: 0.00
data_Dy3Si4Rh7
_chemical_formula_sum 'Dy6 Si8 Rh14'
_cell_length_a 15.187
_cell_length_b 4.006
_cell_length_c 9.194
_cell_angle_alpha 90.00
_cell_angle_beta 124.94
_cell_angle_gamma 90.00
_space_group_name_H-M_alt 'C 1 2/m 1'
_space_group_IT_number 12
_space_group_name_Hall '-C 2y'
loop_
_atom_site_label
_atom_site_fract_x
_atom_site_fract_y
_atom_site_fract_z
_atom_site_occupancy
Dy1 0.000 0.000 0.000 1
Dy2 0.169 0.500 0.665 1
Si1 0.113 0.000 0.836 1
Si2 0.166 0.500 0.280 1
Rh1 0.000 0.000 0.500 1
Rh2 0.004 0.500 0.270 1
Rh3 0.164 0.000 0.422 1
Rh4 0.196 0.500 0.048 1

=====

# Dy2Si4Rh3 (PBE-GGA, optimized geometry)
# Final energy in eV per atom: -6.67
# Total magnetic moment in Bohr magnetons per cell: 0.00
data_Dy2Si4Rh3
_chemical_formula_sum 'Dy8 Si16 Rh12'
_cell_length_a 5.449
_cell_length_b 9.543
_cell_length_c 11.839
_cell_angle_alpha 90.00
_cell_angle_beta 90.00
_cell_angle_gamma 90.00
_space_group_name_H-M_alt 'F m m m'
_space_group_IT_number 69
_space_group_name_Hall '-F 2 2'
loop_
_atom_site_label
_atom_site_fract_x
_atom_site_fract_y
_atom_site_fract_z
_atom_site_occupancy
Dy1 0.000 0.000 0.136 1
Si1 0.000 0.178 0.340 1
Rh1 0.000 0.000 0.500 1
Rh2 0.250 0.250 0.000 1

=====

# Dy3Si4Rh2 (PBE-GGA, optimized geometry)
# Final energy in eV per atom: -6.53
# Total magnetic moment in Bohr magnetons per cell: 0.00
data_Dy3Si4Rh2
_chemical_formula_sum 'Dy6 Si8 Rh4'
_cell_length_a 10.679
_cell_length_b 4.141
_cell_length_c 8.031
_cell_angle_alpha 90.00
_cell_angle_beta 108.23
_cell_angle_gamma 90.00
_space_group_name_H-M_alt 'C 1 2/m 1'
_space_group_IT_number 12
_space_group_name_Hall '-C 2y'
loop_
_atom_site_label
_atom_site_fract_x
_atom_site_fract_y
_atom_site_fract_z
_atom_site_occupancy
Dy1 0.000 0.000 0.000 1
Dy2 0.119 0.500 0.697 1
Si1 0.094 0.000 0.406 1
Si2 0.220 0.500 0.074 1
Rh1 0.189 0.500 0.362 1

=====

# Dy3Si2Rh2 (PBE-GGA, optimized geometry)
# Final energy in eV per atom: -6.58
# Total magnetic moment in Bohr magnetons per cell: 0.00
data_Dy3Si2Rh2
_chemical_formula_sum 'Dy12 Si8 Rh8'
_cell_length_a 5.569
_cell_length_b 7.746
_cell_length_c 13.098
_cell_angle_alpha 90.00
_cell_angle_beta 90.00
_cell_angle_gamma 90.00
_space_group_name_H-M_alt 'P b c m'
_space_group_IT_number 57
_space_group_name_Hall '-P 2c 2b'
loop_
_atom_site_label
_atom_site_fract_x
_atom_site_fract_y
_atom_site_fract_z
_atom_site_occupancy
Dy1 0.132 0.247 0.250 1
Dy2 0.361 0.607 0.102 1
Si1 0.132 0.250 0.000 1
Si2 0.361 0.606 0.750 1
Rh1 0.132 0.535 0.591 1

=====

# DySi2Rh3 (PBE-GGA, optimized geometry)
# Final energy in eV per atom: -7.25
# Total magnetic moment in Bohr magnetons per cell: 0.00
data_DySi2Rh3
_chemical_formula_sum 'Dy6 Si12 Rh18'
_cell_length_a 15.884
_cell_length_b 3.963
_cell_length_c 9.697
_cell_angle_alpha 90.00
_cell_angle_beta 108.21
_cell_angle_gamma 90.00
_space_group_name_H-M_alt 'C 1 2/m 1'
_space_group_IT_number 12
_space_group_name_Hall '-C 2y'
loop_
_atom_site_label
_atom_site_fract_x
_atom_site_fract_y
_atom_site_fract_z
_atom_site_occupancy
Dy1 0.000 0.000 0.000 1
Dy2 0.160 0.000 0.699 1
Si1 0.036 0.500 0.777 1
Si2 0.138 0.500 0.447 1
Si3 0.195 0.000 0.128 1
Rh1 0.000 0.500 0.500 1
Rh2 0.039 0.000 0.329 1
Rh3 0.121 0.500 0.197 1
Rh4 0.177 0.500 0.957 1
Rh5 0.218 0.000 0.393 1